## Tb3TlPt2 (PBE)

Data for a geometry-optimized Tb3TlPt2 structure.

- Calculated density: 12.528 Mg/m³
- Uncorrected energy: -0.4152 Ry per atom

Cell lengths 3.558, 3.558, 11.220 Å; angles 90.00, 90.00, 90.00 degrees
Fractional positions:
Tb1 0.000 0.000 0.000
Tb2 0.000 0.000 0.306
Tb3 0.000 0.000 0.694
Tl1 0.500 0.500 0.500
Pt1 0.500 0.500 0.159
Pt2 0.500 0.500 0.841

***

## Dy10TmSc4 (PBE)

Data for a geometry-optimized Dy10TmSc4 structure.

- Calculated density: 6.615 Mg/m³
- Uncorrected energy: -0.3300 Ry per atom

Cell lengths 8.671, 8.671, 8.671 Å; angles 105.92, 105.92, 116.84 degrees
Fractional positions:
Dy1 0.028 0.696 0.089
Dy2 0.061 0.972 0.668
Dy3 0.250 0.750 0.500
Dy4 0.304 0.393 0.332
Dy5 0.393 0.061 0.089
Dy6 0.607 0.939 0.911
Dy7 0.696 0.607 0.668
Dy8 0.750 0.250 0.500
Dy9 0.939 0.028 0.332
Dy10 0.972 0.304 0.911
Tm1 0.000 0.000 0.000
Sc1 0.266 0.463 0.728
Sc2 0.463 0.734 0.197
Sc3 0.537 0.266 0.803
Sc4 0.734 0.537 0.272

***

## SrInMo2 (PBE)

Data for a geometry-optimized SrInMo2 structure.

- Calculated density: 7.858 Mg/m³
- Uncorrected energy: -0.4094 Ry per atom

Cell lengths 5.753, 5.753, 2.827 Å; angles 90.00, 90.00, 117.06 degrees
Fractional positions:
Sr1 0.000 0.000 0.000
In1 0.500 0.500 0.000
Mo1 0.000 0.500 0.500
Mo2 0.500 0.000 0.500

***

## ErRe2B6 (PBE)

Data for a geometry-optimized ErRe2B6 structure.

- Calculated density: 11.036 Mg/m³
- Uncorrected energy: -0.5969 Ry per atom

Cell lengths 5.707, 5.707, 5.707 Å; angles 148.46, 106.93, 81.75 degrees
Fractional positions:
Er1 0.000 0.000 0.000
Re1 0.341 0.841 0.500
Re2 0.659 0.159 0.500
B1 0.064 0.311 0.753
B2 0.335 0.500 0.835
B3 0.443 0.689 0.753
B4 0.557 0.311 0.247
B5 0.665 0.500 0.165
B6 0.936 0.689 0.247

***

## CeGa6Tc (PBE)

Data for a geometry-optimized CeGa6Tc structure.

- Calculated density: 7.261 Mg/m³
- Uncorrected energy: -0.3318 Ry per atom

Cell lengths 5.648, 5.648, 5.450 Å; angles 101.55, 101.55, 112.28 degrees
Fractional positions:
Ce1 0.000 0.000 0.000
Ga1 0.071 0.572 0.266
Ga2 0.428 0.929 0.734
Ga3 0.441 0.441 0.730
Ga4 0.559 0.559 0.270
Ga5 0.572 0.071 0.266
Ga6 0.929 0.428 0.734
Tc1 0.000 0.000 0.500

***

## Y2In2Ag (PBE)

Data for a geometry-optimized Y2In2Ag structure.

- Calculated density: 6.027 Mg/m³
- Polymorph energy (0 for the lowest one): 1.49 eV per formula unit

Cell lengths 7.822, 7.822, 4.641 Å; angles 90.00, 90.00, 90.00 degrees
Fractional positions:
Y1 0.156 0.344 0.000
Y2 0.344 0.844 0.000
Y3 0.656 0.156 0.000
Y4 0.844 0.656 0.000
In1 0.146 0.646 0.500
In2 0.354 0.146 0.500
In3 0.646 0.854 0.500
In4 0.854 0.354 0.500
Ag1 0.000 0.000 0.000
Ag2 0.500 0.500 0.000

***

## PuNpMn (PBE)

Data for a geometry-optimized PuNpMn structure.

- Calculated density: 19.716 Mg/m³
- Polymorph energy (0 for the lowest one): 0.00 eV per formula unit

Cell lengths 4.327, 4.327, 2.784 Å; angles 90.00, 90.00, 120.00 degrees
Fractional positions:
Pu1 0.000 0.000 0.000
Np1 0.333 0.667 0.792
Mn1 0.667 0.333 0.394

***

## CoRhPbCl6 (PBE)

Data for a geometry-optimized CoRhPbCl6 structure.

- Calculated density: 4.412 Mg/m³
- Uncorrected formation energy: -0.656 eV per atom

Cell lengths 6.376, 6.376, 6.218 Å; angles 90.00, 90.00, 120.00 degrees
Fractional positions:
Co1 0.000 0.000 0.000
Rh1 0.667 0.333 0.000
Pb1 0.333 0.667 0.500
Cl1 0.337 0.036 0.784
Cl2 0.337 0.301 0.216
Cl3 0.699 0.036 0.216
Cl4 0.699 0.663 0.784
Cl5 0.964 0.301 0.784
Cl6 0.964 0.663 0.216

***

## ScAlCu2P (PBE)

Data for a geometry-optimized ScAlCu2P structure.

- Calculated density: 4.217 Mg/m³
- Uncorrected energy: -0.3362 Ry per atom

Cell lengths 4.283, 4.283, 4.937 Å; angles 90.00, 90.00, 90.00 degrees
Fractional positions:
Sc1 0.000 0.000 0.000
Al1 0.500 0.500 0.000
Cu1 0.000 0.500 0.500
Cu2 0.500 0.000 0.500
P1 0.500 0.500 0.500

***

## Tb7Er2Th3 (PBE)

Data for a geometry-optimized Tb7Er2Th3 structure.

- Calculated density: 8.923 Mg/m³
- Uncorrected energy: -0.3640 Ry per atom

Cell lengths 11.803, 11.803, 11.803 Å; angles 31.51, 31.51, 31.51 degrees
Fractional positions:
Tb1 0.000 0.000 0.000
Tb2 0.087 0.087 0.580
Tb3 0.087 0.580 0.087
Tb4 0.420 0.913 0.913
Tb5 0.580 0.087 0.087
Tb6 0.913 0.420 0.913
Tb7 0.913 0.913 0.420
Er1 0.166 0.166 0.166
Er2 0.834 0.834 0.834
Th1 0.346 0.346 0.346
Th2 0.500 0.500 0.500
Th3 0.654 0.654 0.654

***

## CeHo2Th (PBE)

Data for a geometry-optimized CeHo2Th structure.

- Calculated density: 9.479 Mg/m³
- Polymorph energy (0 for the lowest one): 0.00 eV per formula unit

Cell lengths 3.534, 3.534, 11.370 Å; angles 90.00, 90.00, 120.00 degrees
Fractional positions:
Ce1 0.000 0.000 0.000
Ho1 0.000 0.000 0.502
Ho2 0.333 0.667 0.753
Th1 0.667 0.333 0.246

***

## TcHg2Rh (PBE)

Data for a geometry-optimized TcHg2Rh structure.

- Calculated density: 14.039 Mg/m³
- Polymorph energy (0 for the lowest one): 1.63 eV per formula unit

Cell lengths 4.653, 4.653, 4.653 Å; angles 60.00, 60.00, 60.00 degrees
Fractional positions:
Tc1 0.000 0.000 0.000
Hg1 0.250 0.250 0.250
Hg2 0.500 0.500 0.500
Rh1 0.750 0.750 0.750

***

## La12DyEr2 (PBE)

Data for a geometry-optimized La12DyEr2 structure.

- Calculated density: 6.409 Mg/m³
- Uncorrected energy: -0.3322 Ry per atom

Cell lengths 6.730, 6.730, 24.758 Å; angles 90.00, 90.00, 90.00 degrees
Fractional positions:
La1 0.006 0.506 0.106
La2 0.006 0.994 0.894
La3 0.084 0.584 0.564
La4 0.084 0.916 0.436
La5 0.250 0.250 0.203
La6 0.250 0.250 0.329
La7 0.250 0.250 0.671
La8 0.250 0.250 0.797
La9 0.416 0.584 0.436
La10 0.416 0.916 0.564
La11 0.494 0.506 0.894
La12 0.494 0.994 0.106
La13 0.506 0.006 0.894
La14 0.506 0.494 0.106
La15 0.584 0.084 0.436
La16 0.584 0.416 0.564
La17 0.750 0.750 0.203
La18 0.750 0.750 0.329
La19 0.750 0.750 0.671
La20 0.750 0.750 0.797
La21 0.916 0.084 0.564
La22 0.916 0.416 0.436
La23 0.994 0.006 0.106
La24 0.994 0.494 0.894
Dy1 0.250 0.750 0.000
Dy2 0.750 0.250 0.000
Er1 0.250 0.750 0.245
Er2 0.250 0.750 0.755
Er3 0.750 0.250 0.245
Er4 0.750 0.250 0.755

***

## Nb2CrSn4 (PBE)

Data for a geometry-optimized Nb2CrSn4 structure.

- Calculated density: 6.628 Mg/m³
- Uncorrected energy: -0.4374 Ry per atom

Cell lengths 7.719, 7.719, 7.719 Å; angles 141.29, 141.29, 55.90 degrees
Fractional positions:
Nb1 0.095 0.095 0.000
Nb2 0.905 0.905 0.000
Cr1 0.500 0.500 0.000
Sn1 0.000 0.500 0.500
Sn2 0.307 0.307 0.000
Sn3 0.500 0.000 0.500
Sn4 0.693 0.693 0.000

***

## Tl2InFe (PBE)

Data for a geometry-optimized Tl2InFe structure.

- Calculated density: 9.737 Mg/m³
- Polymorph energy (0 for the lowest one): 1.16 eV per formula unit

Cell lengths 5.189, 5.189, 5.189 Å; angles 60.00, 60.00, 60.00 degrees
Fractional positions:
Tl1 0.000 0.000 0.000
Tl2 0.250 0.250 0.250
In1 0.500 0.500 0.500
Fe1 0.750 0.750 0.750

***

## InRe2Bi (PBE)

Data for a geometry-optimized InRe2Bi structure.

- Calculated density: 15.584 Mg/m³
- Polymorph energy (0 for the lowest one): 0.00 eV per formula unit

Cell lengths 4.716, 4.716, 4.716 Å; angles 60.00, 60.00, 60.00 degrees
Fractional positions:
In1 0.000 0.000 0.000
Re1 0.250 0.250 0.250
Re2 0.750 0.750 0.750
Bi1 0.500 0.500 0.500

***

## MgV2CdTe (PBE)

Data for a geometry-optimized MgV2CdTe structure.

- Calculated density: 4.483 Mg/m³
- Uncorrected formation energy: 0.902 eV per atom

Cell lengths 5.060, 5.060, 5.297 Å; angles 90.00, 90.00, 90.00 degrees
Fractional positions:
Mg1 0.000 0.000 0.000
V1 0.000 0.500 0.500
V2 0.500 0.000 0.500
Cd1 0.500 0.500 0.000
Te1 0.000 0.000 0.500

***

## Ni2Ru2Se (PBE)

Data for a geometry-optimized Ni2Ru2Se structure.

- Calculated density: 9.379 Mg/m³
- Uncorrected formation energy: 0.407 eV per atom
- Polymorph energy (0 for the lowest one): 0.19 eV per formula unit

Cell lengths 6.924, 6.924, 6.924 Å; angles 152.52, 152.52, 39.25 degrees
Fractional positions:
Ni1 0.250 0.750 0.500
Ni2 0.750 0.250 0.500
Ru1 0.103 0.103 0.000
Ru2 0.897 0.897 0.000
Se1 0.500 0.500 0.000

***

## Na3TeSe4 (PBE)

Data for a geometry-optimized Na3TeSe4 structure.

- Calculated density: 3.219 Mg/m³
- Uncorrected formation energy: -0.443 eV per atom

Cell lengths 7.618, 7.618, 7.618 Å; angles 113.60, 82.04, 137.57 degrees
Fractional positions:
Na1 0.000 0.000 0.000
Na2 0.158 0.383 0.775
Na3 0.608 0.383 0.225
Te1 0.565 0.065 0.500
Se1 0.166 0.867 0.299
Se2 0.527 0.366 0.838
Se3 0.527 0.689 0.162
Se4 0.568 0.867 0.701